# 1
! LiPSe | Alexandria | PBE | optimized geometry; values from VASP
&SYSTEM
  ibrav = 0, nat = 3, ntyp = 3
/
ATOMIC_SPECIES
Se 78.96 Se.upf
P 30.97 P.upf
Li 6.94 Li.upf
CELL_PARAMETERS angstrom
-0.214 5.838 -0.218
-3.424 3.520 -3.171
0.821 -4.263 3.915
ATOMIC_POSITIONS crystal
Se 0.618 0.618 0.000
P 0.401 0.401 0.000
Li 0.981 0.981 0.000
! VASP energy   -3.839 eV per atom
! E_form (uncorrected)   -0.24 eV per atom
! Offset from the most stable computed form   322 meV per atom

***

# 2
! Rb2LiH | Alexandria | PBE | optimized geometry; values from VASP
&SYSTEM
  ibrav = 0, nat = 4, ntyp = 3
/
ATOMIC_SPECIES
Rb 85.47 Rb.upf
H 1.01 H.upf
Li 6.94 Li.upf
CELL_PARAMETERS angstrom
0.000 4.360 4.360
4.360 0.000 4.360
4.360 4.360 0.000
ATOMIC_POSITIONS crystal
Rb 0.750 0.750 0.750
Rb 0.250 0.250 0.250
H 0.000 0.000 0.000
Li 0.500 0.500 0.500
! VASP energy   -1.467 eV per atom
! Offset from the most stable computed form   211 meV per atom

***

# 3
! Pu2NiPt3 | Alexandria | PBE | optimized geometry; values from VASP
&SYSTEM
  ibrav = 0, nat = 6, ntyp = 3
/
ATOMIC_SPECIES
Pu 244.00 Pu.upf
Ni 58.69 Ni.upf
Pt 195.08 Pt.upf
CELL_PARAMETERS angstrom
4.829 -0.150 -2.554
-3.068 4.518 -0.219
-0.301 0.050 5.273
ATOMIC_POSITIONS crystal
Pu 0.751 0.376 0.127
Pu 0.249 0.624 0.873
Ni 0.000 0.000 0.000
Pt 0.000 0.000 0.500
Pt 0.500 0.000 0.500
Pt 0.500 0.500 0.500
! VASP energy   -9.506 eV per atom
! Formation energy from the elements   -745 meV/atom

***

# 4
! Dy4TlTe3 | Alexandria | PBE | optimized geometry; values from VASP
&SYSTEM
  ibrav = 0, nat = 16, ntyp = 3
/
ATOMIC_SPECIES
Tl 204.38 Tl.upf
Dy 162.50 Dy.upf
Te 127.60 Te.upf
CELL_PARAMETERS angstrom
7.574 0.062 0.000
-2.596 7.119 0.000
0.000 0.000 8.786
ATOMIC_POSITIONS crystal
Tl 0.250 0.000 0.125
Tl 0.750 0.000 0.875
Dy 0.508 0.758 0.633
Dy 0.492 0.242 0.367
Dy 0.500 0.759 0.120
Dy 0.008 0.758 0.367
Dy 0.000 0.759 0.880
Dy 0.992 0.242 0.633
Dy 0.500 0.241 0.880
Dy 0.000 0.241 0.120
Te 0.750 0.500 0.621
Te 0.250 0.500 0.873
Te 0.250 0.500 0.379
Te 0.750 0.000 0.376
Te 0.750 0.500 0.127
Te 0.250 0.000 0.624
! VASP energy   -4.857 eV per atom
! E_form (uncorrected)   -1.08 eV per atom
! Offset from the most stable computed form   0 meV per atom

***

Q: The lowest VASP energy belongs to which entry?
A: Pu2NiPt3